Entry 1:
A plane-wave DFT calculation with GGA-PBE was carried out for a relaxed TbNpAg2O6 crystal.

Summary:
- Raw formation energy: -2.041 eV/atom
- Space-group type: P2_1/c, No. 14

abc: 5.786 5.925 8.360
angles: 90.00 90.27 90.00
Sites, in units of the cell vectors:
Tb  0.500  0.000  0.000
Tb  0.000  0.500  0.500
Np  0.500  0.000  0.500
Np  0.000  0.500  0.000
Ag  0.002  0.975  0.247
Ag  0.502  0.525  0.747
Ag  0.998  0.025  0.753
Ag  0.498  0.475  0.253
O  0.289  0.683  0.051
O  0.789  0.817  0.551
O  0.711  0.317  0.949
O  0.211  0.183  0.449
O  0.324  0.711  0.450
O  0.824  0.789  0.950
O  0.676  0.289  0.550
O  0.176  0.211  0.050
O  0.904  0.536  0.236
O  0.404  0.964  0.736
O  0.096  0.464  0.764
O  0.596  0.036  0.264

Entry 2:
A plane-wave DFT calculation with GGA-PBE was carried out for a relaxed NpAgTeO crystal.

Summary:
- Raw formation energy: -1.392 eV/atom
- Space-group type: P4/nmm, No. 129
- DOS(E_F): 1.618 states/eV per atom

abc: 4.090 4.090 10.006
angles: 90.00 90.00 90.00
Last column: magnetic moment on the atom in μB.
Sites, in units of the cell vectors:
Np  0.000  0.500  0.888  3.88
Np  0.500  0.000  0.112  3.88
Ag  0.000  0.000  0.500  0.02
Ag  0.500  0.500  0.500  0.02
Te  0.500  0.000  0.712  -0.04
Te  0.000  0.500  0.288  -0.04
O  0.500  0.500  0.000  -0.10
O  0.000  0.000  0.000  -0.10

Entry 3:
A plane-wave DFT calculation with GGA-PBE was carried out for a relaxed NpAg2TeO6 crystal.

Summary:
- Raw formation energy: -1.303 eV/atom
- Space-group type: P4mm, No. 99
- DOS(E_F): 0.024 states/eV per atom

abc: 4.360 5.907 5.907
angles: 90.00 90.00 90.00
Last column: magnetic moment on the atom in μB.
Sites, in units of the cell vectors:
Np  0.629  0.000  0.000  1.23
Ag  0.185  0.500  0.000  0.00
Ag  0.185  0.000  0.500  0.00
Te  0.632  0.500  0.500  -0.02
O  0.622  0.244  0.244  -0.04
O  0.622  0.244  0.756  -0.04
O  0.198  0.500  0.500  -0.01
O  0.130  0.000  0.000  -0.05
O  0.622  0.756  0.756  -0.04
O  0.622  0.756  0.244  -0.04

Entry 4:
A plane-wave DFT calculation with GGA-PBE was carried out for a relaxed NpTiAg2O6 crystal.

Summary:
- Raw formation energy: -1.976 eV/atom
- Space-group type: C2/m, No. 12
- DOS(E_F): 0.016 states/eV per atom

abc: 5.588 5.762 5.648
angles: 120.67 119.79 90.00
Last column: magnetic moment on the atom in μB.
Sites, in units of the cell vectors:
Np  0.000  0.500  0.000  1.26
Ti  0.500  0.000  0.000  -0.01
Ag  0.241  0.250  0.500  -0.01
Ag  0.759  0.750  0.500  -0.01
O  0.345  0.756  0.512  -0.04
O  0.212  0.198  0.910  -0.04
O  0.788  0.289  0.090  -0.04
O  0.212  0.711  0.910  -0.04
O  0.788  0.802  0.090  -0.04
O  0.655  0.244  0.488  -0.04

Entry 5:
A plane-wave DFT calculation with GGA-PBE was carried out for a relaxed NpTiAgO6 crystal.

Summary:
- Raw formation energy: -2.237 eV/atom
- Space-group type: P-31c, No. 163

abc: 5.413 5.413 9.932
angles: 90.00 90.00 120.00
Sites, in units of the cell vectors:
Np  0.667  0.333  0.250
Np  0.333  0.667  0.750
Ti  0.333  0.667  0.250
Ti  0.667  0.333  0.750
Ag  0.000  0.000  0.000
Ag  0.000  0.000  0.500
O  0.624  0.630  0.144
O  0.007  0.376  0.144
O  0.376  0.007  0.644
O  0.993  0.624  0.856
O  0.370  0.376  0.356
O  0.007  0.630  0.356
O  0.630  0.007  0.856
O  0.624  0.993  0.356
O  0.993  0.370  0.644
O  0.370  0.993  0.144
O  0.630  0.624  0.644
O  0.376  0.370  0.856

Entry 6:
A plane-wave DFT calculation with GGA-PBE was carried out for a relaxed Np2Tl3AgO9 crystal.

Summary:
- Raw formation energy: -1.731 eV/atom
- Space-group type: P-3m1, No. 164

abc: 6.158 6.158 7.669
angles: 90.00 90.00 120.00
Sites, in units of the cell vectors:
Np  0.333  0.667  0.157
Np  0.667  0.333  0.843
Tl  0.333  0.667  0.640
Tl  0.000  0.000  0.000
Tl  0.667  0.333  0.360
Ag  0.000  0.000  0.500
O  0.817  0.183  0.697
O  0.817  0.634  0.697
O  0.366  0.183  0.697
O  0.634  0.817  0.303
O  0.183  0.366  0.303
O  0.183  0.817  0.303
O  0.500  0.000  0.000
O  0.000  0.500  0.000
O  0.500  0.500  0.000

- What is the formula in the second record?
  NpAgTeO